Entry from Alexandria via LeMat-Bulk: a relaxed Sm3Zn3Si2 crystal (PBE).

Geometry as CIF:
```
data_Sm3Zn3Si2
_space_group_name_H-M_alt 'C m c m'
_space_group_IT_number 63
_space_group_name_Hall '-C 2c 2'
_cell_length_a 4.128
_cell_length_b 11.107
_cell_length_c 15.478
_cell_angle_alpha 90.00
_cell_angle_beta 90.00
_cell_angle_gamma 90.00
loop_
_atom_site_label
_atom_site_type_symbol
_atom_site_fract_x
_atom_site_fract_y
_atom_site_fract_z
_atom_site_occupancy
Sm1 Sm 0.000 0.069 0.250 1
Sm2 Sm 0.000 0.356 0.091 1
Zn1 Zn 0.000 0.076 0.055 1
Zn2 Zn 0.000 0.208 0.750 1
Si1 Si 0.000 0.346 0.617 1
```

Properties
ΔE_f (raw) in eV/atom: -0.53
E_tot in eV for the cell shown: -132.41